# 1
Tm5Tl2Te: optimized geometry, PBE.

- space group = Pbam, No. 55

Lattice parameters (Å, degrees): 8.3272 12.1116 4.4960 90.00 90.00 90.00
Closest atoms and distances in Å follow each position.
Atoms (fractional coordinates):
1 Tm 0.0000 0.0000 0.0000  4 Tl 3.16, 4 Tm 3.41
2 Tm 0.1604 0.2789 0.0000  1 Te 2.99, 4 Tl 3.19-3.24
3 Tm 0.2119 0.5760 0.5000  2 Te 3.00, 2 Tl 3.21-3.27
4 Tm 0.2881 0.0760 0.5000  2 Te 3.00, 2 Tl 3.21-3.27
5 Tm 0.3396 0.7789 0.0000  1 Te 2.99, 4 Tl 3.19-3.24
6 Tm 0.5000 0.5000 0.0000  4 Tl 3.16, 4 Tm 3.41
7 Tm 0.6604 0.2211 0.0000  1 Te 2.99, 4 Tl 3.19-3.24
8 Tm 0.7119 0.9240 0.5000  2 Te 3.00, 2 Tl 3.21-3.27
9 Tm 0.7881 0.4240 0.5000  2 Te 3.00, 2 Tl 3.21-3.27
10 Tm 0.8396 0.7211 0.0000  1 Te 2.99, 4 Tl 3.19-3.24
11 Tl 0.0763 0.8240 0.5000  9 Tm 3.16-3.53
12 Tl 0.4237 0.3240 0.5000  9 Tm 3.16-3.53
13 Tl 0.5763 0.6760 0.5000  9 Tm 3.16-3.53
14 Tl 0.9237 0.1760 0.5000  9 Tm 3.16-3.53
15 Te 0.0000 0.5000 0.0000  6 Tm 2.99-3.00
16 Te 0.5000 0.0000 0.0000  6 Tm 2.99-3.00



# 2
Tm4TlTe2: optimized geometry, PBE.

- space group = I4_1/amd, No. 141

Lattice parameters (Å, degrees): 8.1541 8.1541 8.1541 108.88 108.88 110.66
Closest atoms and distances in Å follow each position.
Atoms (fractional coordinates):
1 Tm 0.1798 0.2394 0.5596  1 Tl 2.98, 3 Te 3.02-3.05
2 Tm 0.1798 0.6203 0.9404  1 Tl 2.98, 3 Te 3.02-3.05
3 Tm 0.2394 0.1798 0.0596  1 Tl 2.98, 3 Te 3.02-3.05
4 Tm 0.3797 0.8202 0.5596  1 Tl 2.98, 3 Te 3.02-3.05
5 Tm 0.6203 0.1798 0.4404  1 Tl 2.98, 3 Te 3.02-3.05
6 Tm 0.7606 0.8202 0.9404  1 Tl 2.98, 3 Te 3.02-3.05
7 Tm 0.8202 0.3797 0.0596  1 Tl 2.98, 3 Te 3.02-3.05
8 Tm 0.8202 0.7606 0.4404  1 Tl 2.98, 3 Te 3.02-3.05
9 Tl 0.1250 0.8750 0.2500  4 Tm 2.98
10 Tl 0.8750 0.1250 0.7500  4 Tm 2.98
11 Te 0.0000 0.5000 0.5000  6 Tm 3.02-3.05
12 Te 0.5000 0.0000 0.0000  6 Tm 3.02-3.05
13 Te 0.5000 0.5000 0.0000  6 Tm 3.02-3.05
14 Te 0.5000 0.5000 0.5000  6 Tm 3.02-3.05



# 3
Tm5TlTe4: optimized geometry, PBE.

- space group = I4/m, No. 87

Lattice parameters (Å, degrees): 7.4984 7.4984 7.4984 99.52 99.52 131.99
Closest atoms and distances in Å follow each position.
Atoms (fractional coordinates):
1 Tm 0.0000 0.0000 0.0000  2 Tl 3.05, 4 Te 3.08
2 Tm 0.2112 0.4007 0.6119  1 Tl 2.96, 5 Te 3.05-3.11
3 Tm 0.4007 0.7888 0.1896  1 Tl 2.96, 5 Te 3.05-3.11
4 Tm 0.5993 0.2112 0.8104  1 Tl 2.96, 5 Te 3.05-3.11
5 Tm 0.7888 0.5993 0.3881  1 Tl 2.96, 5 Te 3.05-3.11
6 Tl 0.5000 0.5000 0.0000  6 Tm 2.96-3.05
7 Te 0.0948 0.6963 0.7911  6 Tm 3.05-3.11
8 Te 0.3037 0.0948 0.3986  6 Tm 3.05-3.11
9 Te 0.6963 0.9052 0.6014  6 Tm 3.05-3.11
10 Te 0.9052 0.3037 0.2089  6 Tm 3.05-3.11



Record order is preserved below.
Energy relative to the elements, uncorrected: -0.468; -0.686; -1.044 eV per atom